Material: CeSm2Rh
Method: DFT, GGA-PBE
State: optimized geometry

Results
Magnetic moment   1.4 Bohr magnetons per cell
Distance to the lowest polymorph of the same formula   0.561 eV/f.u.
Total energy   -5.96 eV per atom

Cell: 3.5361 3.5361 8.6679 Å, 90.00 90.00 90.00°
Sites, in units of the cell vectors:
Ce: 0.0000 0.0000 0.0000
Sm: 0.5000 0.5000 0.3069
Sm: 0.5000 0.5000 0.6931
Rh: 0.0000 0.0000 0.5000

***

Material: SrLa2Nd
Method: DFT, GGA-PBE
State: optimized geometry

Results
Magnetic moment   0.0 Bohr magnetons per cell
Distance to the lowest polymorph of the same formula   0.000 eV/f.u.
Total energy   -4.00 eV per atom

Cell: 3.7901 3.7901 11.1103 Å, 90.00 90.00 90.00°
Sites, in units of the cell vectors:
Sr: 0.0000 0.0000 0.0000
La: 0.5000 0.5000 0.2769
La: 0.5000 0.5000 0.7231
Nd: 0.0000 0.0000 0.5000

***

Material: Na2SbRhO6
Method: DFT, GGA-PBE
State: optimized geometry

Results
Magnetic moment   1.0 Bohr magnetons per cell
Formation energy (no corrections)   -24.713 kcal/mol of atoms
Total energy   -5.46 eV per atom

Cell: 5.5918 5.5918 3.9099 Å, 90.00 90.00 90.00°
Sites, in units of the cell vectors:
Na: 0.0000 0.5000 0.0000
Na: 0.5000 0.0000 0.0000
Sb: 0.0000 0.0000 0.5000
Rh: 0.5000 0.5000 0.5000
O: 0.0000 0.0000 0.0000
O: 0.2493 0.2493 0.5000
O: 0.2493 0.7507 0.5000
O: 0.5000 0.5000 0.0000
O: 0.7507 0.2493 0.5000
O: 0.7507 0.7507 0.5000

***

Material: HfMn5
Method: DFT, GGA-PBE
State: optimized geometry

Results
Magnetic moment   0.4 Bohr magnetons per cell
Total energy   -9.29 eV per atom

Cell: 4.8891 4.8891 3.9520 Å, 90.00 90.00 122.16°
Sites, in units of the cell vectors:
Hf: 0.0000 0.0000 0.0000
Mn: 0.0000 0.5000 0.5000
Mn: 0.3242 0.6758 0.0000
Mn: 0.5000 0.0000 0.5000
Mn: 0.5000 0.5000 0.5000
Mn: 0.6758 0.3242 0.0000

***

Material: CaGeIr3
Method: DFT, GGA-PBE
State: optimized geometry

Results
Magnetic moment   0.0 Bohr magnetons per cell
Distance to the lowest polymorph of the same formula   9.340 eV/f.u.
Total energy   -4.42 eV per atom

Cell: 4.7892 4.7892 4.7892 Å, 90.00 90.00 90.00°
Sites, in units of the cell vectors:
Ca: 0.0000 0.0000 0.0000
Ge: 0.5000 0.5000 0.5000
Ir: 0.0000 0.0000 0.5000
Ir: 0.0000 0.5000 0.0000
Ir: 0.5000 0.0000 0.0000

***

Material: LaNd3As3
Method: DFT, GGA-PBE
State: optimized geometry

Results
Magnetic moment   0.0 Bohr magnetons per cell
Total energy   -6.03 eV per atom

Cell: 9.0908 9.0908 9.0908 Å, 90.00 90.00 90.00°
Sites, in units of the cell vectors:
La: 0.0670 0.4330 0.5670
La: 0.4330 0.5670 0.0670
La: 0.5670 0.0670 0.4330
La: 0.9330 0.9330 0.9330
Nd: 0.0666 0.5666 0.9334
Nd: 0.1842 0.1842 0.1842
Nd: 0.1837 0.8163 0.3163
Nd: 0.3163 0.1837 0.8163
Nd: 0.3158 0.8158 0.6842
Nd: 0.4334 0.4334 0.4334
Nd: 0.5666 0.9334 0.0666
Nd: 0.6842 0.3158 0.8158
Nd: 0.6837 0.6837 0.6837
Nd: 0.8163 0.3163 0.1837
Nd: 0.8158 0.6842 0.3158
Nd: 0.9334 0.0666 0.5666
As: 0.0003 0.2517 0.8775
As: 0.9997 0.7517 0.6225
As: 0.1225 0.5003 0.2483
As: 0.2483 0.1225 0.5003
As: 0.2517 0.8775 0.0003
As: 0.3775 0.4997 0.7483
As: 0.5003 0.2483 0.1225
As: 0.4997 0.7483 0.3775
As: 0.6225 0.9997 0.7517
As: 0.7483 0.3775 0.4997
As: 0.7517 0.6225 0.9997
As: 0.8775 0.0003 0.2517

***

Material: AcBN2F
Method: DFT, GGA-PBE
State: optimized geometry

Results
Magnetic moment   2.1 Bohr magnetons per cell
Formation energy (no corrections)   -33.479 kcal/mol of atoms
Total energy   -7.31 eV per atom

Cell: 6.5097 4.3984 7.6581 Å, 90.00 113.62 90.00°
Sites, in units of the cell vectors:
Ac: 0.1887 0.2500 0.3732
Ac: 0.8113 0.7500 0.6268
B: 0.1519 0.2500 0.8591
B: 0.8481 0.7500 0.1409
N: 0.0859 0.2500 0.6708
N: 0.1829 0.2500 0.0434
N: 0.8171 0.7500 0.9566
N: 0.9141 0.7500 0.3292
F: 0.3992 0.7500 0.4144
F: 0.6008 0.2500 0.5856

***

Material: FeRh4Pb
Method: DFT, GGA-PBE
State: optimized geometry

Results
Magnetic moment   4.9 Bohr magnetons per cell
Total energy   -6.62 eV per atom

Cell: 5.2057 5.2057 5.2057 Å, 60.00 60.00 60.00°
Sites, in units of the cell vectors:
Fe: 0.0000 0.0000 0.0000
Rh: 0.3747 0.3747 0.3747
Rh: 0.3747 0.3747 0.8759
Rh: 0.3747 0.8759 0.3747
Rh: 0.8759 0.3747 0.3747
Pb: 0.7500 0.7500 0.7500